# 1
{
  "formula": "ErHgPb",
  "functional": "PBE",
  "state": "optimized geometry",
  "cell": [[-2.6890, -2.2845, -3.0861], [3.1769, 0.2682, -2.9666], [5.8099, -13.5842, 4.9936]],
  "species": ["Pb", "Pb", "Pb", "Pb", "Er", "Er", "Er", "Er", "Hg", "Hg", "Hg", "Hg"],
  "fractional_positions": [[0.0003, 0.2500, 0.5779], [0.9997, 0.7500, 0.4221], [0.5003, 0.7500, 0.9221], [0.4997, 0.2500, 0.0779], [0.9997, 0.7500, 0.0989], [0.5003, 0.7500, 0.5989], [0.0003, 0.2500, 0.9011], [0.4997, 0.2500, 0.4011], [0.0004, 0.7500, 0.7441], [0.4996, 0.7500, 0.2441], [0.5004, 0.2500, 0.7559], [0.9996, 0.2500, 0.2559]]
}

---

# 2
{
  "formula": "Er2Hg4Pb",
  "functional": "PBE",
  "state": "optimized geometry",
  "cell": [[-1.9141, 1.1358, 4.6457], [1.3343, -2.8243, 4.0963], [5.7916, 4.1647, 4.2240]],
  "species": ["Er", "Er", "Hg", "Hg", "Hg", "Hg", "Pb"],
  "fractional_positions": [[0.7235, 0.7235, 0.8295], [0.2765, 0.2765, 0.1705], [0.5737, 0.5737, 0.2789], [0.8583, 0.8583, 0.4250], [0.4263, 0.4263, 0.7211], [0.1417, 0.1417, 0.5750], [0.0000, 0.0000, 0.0000]],
  "e_above_lowest_polymorph_ev_per_fu": 0.000
}

---

# 3
{
  "formula": "ErHgPb",
  "functional": "PBE",
  "state": "optimized geometry",
  "cell": [[-1.8477, -1.6618, -2.7659], [4.1138, -2.5614, -1.2092], [-3.2390, -1.8897, 3.2991]],
  "species": ["Er", "Pb", "Hg"],
  "fractional_positions": [[0.7095, 0.6667, 0.3333], [0.2996, 0.3333, 0.6667], [0.9909, 0.0000, 0.0000]]
}

---

Looking at energy of formation for the records above, in order, we have -0.339; -0.281; -0.304 eV/atom.
Looking at total energy for the records above, in order, we have -3.196; -2.287; -3.162 eV/atom.